The following is a GGA-PBE calculation of CePmZn4 after structural relaxation, from Alexandria via LeMat-Bulk.

Cell lengths 8.223, 8.223, 8.223 Å; angles 150.52, 150.52, 42.18 degrees
Atoms (fractional coordinates):
1 Ce 0.000 0.000 0.000
2 Pm 0.250 0.750 0.500
3 Zn 0.418 0.418 0.000
4 Zn 0.582 0.582 0.000
5 Zn 0.668 0.168 0.500
6 Zn 0.832 0.332 0.500

Properties
Fermi-level density of states (states/eV per atom): 1.777
Relative energy among the computed polymorphs (eV/atom): 0.0553
ΔE_f (eV per atom): -0.247

The following is a GGA-PBE calculation of CePm4Zn5 after structural relaxation, from Alexandria via LeMat-Bulk.

Cell lengths 3.646, 3.646, 18.320 Å; angles 90.00, 90.00, 90.00 degrees
Atoms (fractional coordinates):
1 Ce 0.000 0.000 0.000
2 Pm 0.000 0.000 0.199
3 Pm 0.000 0.000 0.400
4 Pm 0.000 0.000 0.600
5 Pm 0.000 0.000 0.801
6 Zn 0.500 0.500 0.099
7 Zn 0.500 0.500 0.300
8 Zn 0.500 0.500 0.500
9 Zn 0.500 0.500 0.700
10 Zn 0.500 0.500 0.901

Properties
Fermi-level density of states (states/eV per atom): 1.504
ΔE_f (eV per atom): -0.286

The following is a GGA-PBE calculation of CePm2Zn after structural relaxation, from Alexandria via LeMat-Bulk.

Cell lengths 3.612, 3.612, 8.559 Å; angles 90.00, 90.00, 90.00 degrees
Atoms (fractional coordinates):
1 Ce 0.000 0.000 0.000
2 Pm 0.500 0.500 0.284
3 Pm 0.500 0.500 0.716
4 Zn 0.000 0.000 0.500

Properties
Fermi-level density of states (states/eV per atom): 1.609
Relative energy among the computed polymorphs (eV/atom): 0.0000
ΔE_f (eV per atom): -0.107

The following is a GGA-PBE calculation of CePm2Zn5 after structural relaxation, from Alexandria via LeMat-Bulk.

Cell lengths 7.996, 7.996, 7.996 Å; angles 144.05, 144.05, 51.75 degrees
Atoms (fractional coordinates):
1 Ce 0.000 0.000 0.000
2 Pm 0.271 0.271 0.000
3 Pm 0.729 0.729 0.000
4 Zn 0.113 0.613 0.500
5 Zn 0.387 0.887 0.500
6 Zn 0.500 0.500 0.000
7 Zn 0.613 0.113 0.500
8 Zn 0.887 0.387 0.500

Properties
Fermi-level density of states (states/eV per atom): 0.959
ΔE_f (eV per atom): -0.261

The following is a GGA-PBE calculation of CePm2Zn3 after structural relaxation, from Alexandria via LeMat-Bulk.

Cell lengths 3.634, 3.634, 11.030 Å; angles 90.00, 90.00, 90.00 degrees
Atoms (fractional coordinates):
1 Ce 0.000 0.000 0.000
2 Pm 0.000 0.000 0.333
3 Pm 0.000 0.000 0.667
4 Zn 0.500 0.500 0.166
5 Zn 0.500 0.500 0.500
6 Zn 0.500 0.500 0.834

Properties
Fermi-level density of states (states/eV per atom): 1.817
ΔE_f (eV per atom): -0.265

The following is a GGA-PBE calculation of CePm5Zn4 after structural relaxation, from Alexandria via LeMat-Bulk.

Cell lengths 3.638, 3.638, 19.576 Å; angles 90.00, 90.00, 90.00 degrees
Atoms (fractional coordinates):
1 Ce 0.000 0.000 0.000
2 Pm 0.500 0.500 0.125
3 Pm 0.500 0.500 0.313
4 Pm 0.500 0.500 0.500
5 Pm 0.500 0.500 0.687
6 Pm 0.500 0.500 0.875
7 Zn 0.000 0.000 0.217
8 Zn 0.000 0.000 0.406
9 Zn 0.000 0.000 0.594
10 Zn 0.000 0.000 0.783

Properties
Fermi-level density of states (states/eV per atom): 1.359
ΔE_f (eV per atom): -0.232

The following is a GGA-PBE calculation of Ce2PmZn after structural relaxation, from Alexandria via LeMat-Bulk.

Cell lengths 5.333, 5.333, 5.333 Å; angles 60.00, 60.00, 60.00 degrees
Atoms (fractional coordinates):
1 Ce 0.250 0.250 0.250
2 Ce 0.750 0.750 0.750
3 Pm 0.000 0.000 0.000
4 Zn 0.500 0.500 0.500

Properties
Fermi-level density of states (states/eV per atom): 3.255
Relative energy among the computed polymorphs (eV/atom): 0.1519
ΔE_f (eV per atom): 0.140

The following is a GGA-PBE calculation of CePmZn4 after structural relaxation, from Alexandria via LeMat-Bulk.

Cell lengths 5.525, 5.525, 5.525 Å; angles 60.00, 60.00, 60.00 degrees
Atoms (fractional coordinates):
1 Ce 0.000 0.000 0.000
2 Pm 0.250 0.250 0.250
3 Zn 0.126 0.625 0.625
4 Zn 0.625 0.126 0.625
5 Zn 0.625 0.625 0.126
6 Zn 0.625 0.625 0.625

Properties
Fermi-level density of states (states/eV per atom): 0.761
Relative energy among the computed polymorphs (eV/atom): 0.0000
ΔE_f (eV per atom): -0.302

The following is a GGA-PBE calculation of Ce2PmZn4 after structural relaxation, from Alexandria via LeMat-Bulk.

Cell lengths 6.211, 6.211, 5.917 Å; angles 92.64, 92.64, 42.42 degrees
Atoms (fractional coordinates):
1 Ce 0.214 0.214 0.356
2 Ce 0.786 0.786 0.644
3 Pm 0.500 0.500 0.500
4 Zn 0.092 0.092 0.831
5 Zn 0.384 0.384 0.960
6 Zn 0.616 0.616 0.040
7 Zn 0.908 0.908 0.169

Properties
Fermi-level density of states (states/eV per atom): 1.597
ΔE_f (eV per atom): -0.120

The following is a GGA-PBE calculation of Ce2PmZn after structural relaxation, from Alexandria via LeMat-Bulk.

Cell lengths 4.547, 4.547, 5.035 Å; angles 90.00, 90.00, 90.00 degrees
Atoms (fractional coordinates):
1 Ce 0.000 0.500 0.000
2 Ce 0.500 0.000 0.000
3 Pm 0.000 0.000 0.500
4 Zn 0.500 0.500 0.500

Properties
Fermi-level density of states (states/eV per atom): 2.624
Relative energy among the computed polymorphs (eV/atom): 0.0106
ΔE_f (eV per atom): -0.002

The following is a GGA-PBE calculation of Ce2PmZn after structural relaxation, from Alexandria via LeMat-Bulk.

Cell lengths 3.721, 3.721, 8.105 Å; angles 90.00, 90.00, 90.00 degrees
Atoms (fractional coordinates):
1 Ce 0.000 0.000 0.196
2 Ce 0.000 0.000 0.804
3 Pm 0.500 0.500 0.500
4 Zn 0.500 0.500 0.000

Properties
Fermi-level density of states (states/eV per atom): 2.813
Relative energy among the computed polymorphs (eV/atom): 0.0000
ΔE_f (eV per atom): -0.012

The following is a GGA-PBE calculation of Ce2Pm3Zn3 after structural relaxation, from Alexandria via LeMat-Bulk.

Cell lengths 11.409, 11.409, 11.409 Å; angles 161.95, 153.34, 32.39 degrees
Atoms (fractional coordinates):
1 Ce 0.235 0.235 0.000
2 Ce 0.765 0.765 0.000
3 Pm 0.000 0.000 0.000
4 Pm 0.382 0.882 0.500
5 Pm 0.618 0.118 0.500
6 Zn 0.119 0.619 0.500
7 Zn 0.500 0.500 0.000
8 Zn 0.881 0.381 0.500

Properties
Fermi-level density of states (states/eV per atom): 1.851
ΔE_f (eV per atom): -0.180

The following is a GGA-PBE calculation of CePmZn3 after structural relaxation, from Alexandria via LeMat-Bulk.

Cell lengths 13.965, 13.965, 4.562 Å; angles 90.00, 90.00, 165.68 degrees
Atoms (fractional coordinates):
1 Ce 0.214 0.786 0.750
2 Ce 0.786 0.214 0.250
3 Pm 0.072 0.928 0.250
4 Pm 0.928 0.072 0.750
5 Zn 0.331 0.669 0.750
6 Zn 0.381 0.619 0.250
7 Zn 0.476 0.524 0.250
8 Zn 0.524 0.476 0.750
9 Zn 0.619 0.381 0.750
10 Zn 0.669 0.331 0.250

Properties
Fermi-level density of states (states/eV per atom): 1.455
ΔE_f (eV per atom): -0.277

The following is a GGA-PBE calculation of Ce3PmZn8 after structural relaxation, from Alexandria via LeMat-Bulk.

Cell lengths 5.652, 5.652, 8.542 Å; angles 90.00, 90.00, 120.00 degrees
Atoms (fractional coordinates):
1 Ce 0.000 0.000 0.000
2 Ce 0.000 0.000 0.336
3 Ce 0.333 0.667 0.861
4 Pm 0.333 0.667 0.491
5 Zn 0.327 0.163 0.671
6 Zn 0.500 0.001 0.173
7 Zn 0.500 0.500 0.173
8 Zn 0.667 0.333 0.423
9 Zn 0.667 0.333 0.920
10 Zn 0.837 0.163 0.671
11 Zn 0.837 0.673 0.671
12 Zn 0.999 0.500 0.173

Properties
Fermi-level density of states (states/eV per atom): 1.366
Relative energy among the computed polymorphs (eV/atom): 0.0058
ΔE_f (eV per atom): -0.276

The following is a GGA-PBE calculation of CePm2Zn after structural relaxation, from Alexandria via LeMat-Bulk.

Cell lengths 4.851, 4.851, 4.667 Å; angles 90.00, 90.00, 90.00 degrees
Atoms (fractional coordinates):
1 Ce 0.000 0.000 0.000
2 Pm 0.000 0.500 0.500
3 Pm 0.500 0.000 0.500
4 Zn 0.500 0.500 0.000

Properties
Fermi-level density of states (states/eV per atom): 2.170
Relative energy among the computed polymorphs (eV/atom): 0.1066
ΔE_f (eV per atom): 0.000

The following is a GGA-PBE calculation of CePm2Zn after structural relaxation, from Alexandria via LeMat-Bulk.

Cell lengths 10.780, 10.780, 10.780 Å; angles 19.17, 19.17, 19.17 degrees
Atoms (fractional coordinates):
1 Ce 0.000 0.000 0.000
2 Pm 0.239 0.239 0.239
3 Pm 0.427 0.427 0.427
4 Zn 0.833 0.833 0.833

Properties
Fermi-level density of states (states/eV per atom): 1.704
Relative energy among the computed polymorphs (eV/atom): 0.1296
ΔE_f (eV per atom): 0.023

The following is a GGA-PBE calculation of CePm5Zn6 after structural relaxation, from Alexandria via LeMat-Bulk.

Cell lengths 5.160, 7.322, 8.163 Å; angles 90.00, 108.31, 90.00 degrees
Atoms (fractional coordinates):
1 Ce 0.000 0.000 0.000
2 Pm 0.000 0.500 0.000
3 Pm 0.334 0.500 0.669
4 Pm 0.335 0.000 0.670
5 Pm 0.665 0.000 0.330
6 Pm 0.666 0.500 0.331
7 Zn 0.167 0.250 0.333
8 Zn 0.167 0.750 0.333
9 Zn 0.500 0.250 0.000
10 Zn 0.500 0.750 0.000
11 Zn 0.833 0.250 0.667
12 Zn 0.833 0.750 0.667

Properties
Fermi-level density of states (states/eV per atom): 1.491
ΔE_f (eV per atom): -0.287

The following is a GGA-PBE calculation of Ce2PmZn6 after structural relaxation, from Alexandria via LeMat-Bulk.

Cell lengths 7.984, 7.984, 3.415 Å; angles 90.00, 90.00, 120.00 degrees
Atoms (fractional coordinates):
1 Ce 0.333 0.667 0.000
2 Ce 0.667 0.333 0.000
3 Pm 0.000 0.000 0.000
4 Zn 0.000 0.333 0.500
5 Zn 0.000 0.667 0.500
6 Zn 0.333 0.000 0.500
7 Zn 0.333 0.333 0.500
8 Zn 0.667 0.000 0.500
9 Zn 0.667 0.667 0.500

Properties
Fermi-level density of states (states/eV per atom): 1.567
ΔE_f (eV per atom): -0.303

The following is a GGA-PBE calculation of Ce5PmZn6 after structural relaxation, from Alexandria via LeMat-Bulk.

Cell lengths 8.703, 8.703, 5.359 Å; angles 105.85, 105.85, 44.94 degrees
Atoms (fractional coordinates):
1 Ce 0.000 0.000 0.000
2 Ce 0.173 0.173 0.580
3 Ce 0.322 0.322 0.412
4 Ce 0.678 0.678 0.588
5 Ce 0.827 0.827 0.420
6 Pm 0.500 0.500 0.000
7 Zn 0.083 0.576 0.930
8 Zn 0.254 0.746 0.500
9 Zn 0.424 0.917 0.070
10 Zn 0.576 0.083 0.930
11 Zn 0.746 0.254 0.500
12 Zn 0.917 0.424 0.070

Properties
Fermi-level density of states (states/eV per atom): 1.973
ΔE_f (eV per atom): -0.213

The following is a GGA-PBE calculation of Ce3PmZn4 after structural relaxation, from Alexandria via LeMat-Bulk.

Cell lengths 10.263, 7.277, 5.133 Å; angles 90.00, 90.00, 90.00 degrees
Atoms (fractional coordinates):
1 Ce 0.000 0.000 0.000
2 Ce 0.250 0.000 0.498
3 Ce 0.250 0.500 0.499
4 Ce 0.500 0.000 0.000
5 Ce 0.750 0.000 0.502
6 Ce 0.750 0.500 0.501
7 Pm 0.000 0.500 0.000
8 Pm 0.500 0.500 0.000
9 Zn 0.000 0.251 0.500
10 Zn 0.000 0.749 0.500
11 Zn 0.250 0.251 0.998
12 Zn 0.250 0.749 0.998
13 Zn 0.500 0.251 0.500
14 Zn 0.500 0.749 0.500
15 Zn 0.750 0.251 0.002
16 Zn 0.750 0.749 0.002

Properties
Fermi-level density of states (states/eV per atom): 2.476
ΔE_f (eV per atom): -0.204